MnTl3Sb2Se6, relaxed, DFT PBE-GGA; D(E_F) = 0.33 states/eV per atom; DFT total energy = -49.8 eV for the cell shown
1.0
3.559 -6.123 0.000
3.559 6.123 0.000
-2.364 0.000 7.546
Mn Tl Sb Se
1 3 2 6
direct
0.000 0.000 0.000
0.175 0.825 0.500
0.500 0.500 0.500
0.825 0.175 0.500
0.335 0.665 0.000
0.665 0.335 0.000
0.065 0.371 0.198
0.240 0.240 0.792
0.371 0.065 0.198
0.629 0.935 0.802
0.760 0.760 0.208
0.935 0.629 0.802


Sm2Dy3PuTe6, relaxed, DFT PBE-GGA; D(E_F) = 1.07 states/eV per atom; DFT total energy = -72.0 eV for the cell shown
1.0
9.594 -2.186 0.000
9.594 2.186 0.000
-2.085 0.000 8.586
Sm Dy Pu Te
2 3 1 6
direct
0.166 0.166 0.332
0.834 0.834 0.668
0.167 0.167 0.835
0.500 0.500 0.500
0.833 0.833 0.165
0.500 0.500 0.000
0.002 0.002 0.748
0.332 0.332 0.921
0.335 0.335 0.412
0.665 0.665 0.588
0.668 0.668 0.079
0.998 0.998 0.252


La3BiPbCl, relaxed, DFT PBE-GGA; D(E_F) = 0.70 states/eV per atom; DFT total energy = -60.4 eV for the cell shown
1.0
9.419 0.000 0.000
0.000 4.633 0.000
-2.265 0.000 9.809
La Bi Pb Cl
6 2 2 2
direct
0.092 0.250 0.336
0.272 0.250 0.008
0.403 0.750 0.630
0.597 0.250 0.370
0.728 0.750 0.992
0.908 0.750 0.664
0.158 0.250 0.668
0.842 0.750 0.332
0.325 0.750 0.277
0.675 0.250 0.723
0.407 0.750 0.915
0.593 0.250 0.085


IrN2Cl, relaxed, DFT PBE-GGA; relative energy among the computed polymorphs = 90.6 kJ/mol of atoms; D(E_F) = 0.75 states/eV per atom; DFT total energy = -20.1 eV for the cell shown
1.0
1.521 0.878 6.602
-1.521 0.878 6.602
0.000 -1.756 6.602
Ir N Cl
1 2 1
direct
0.000 0.000 0.000
0.092 0.092 0.092
0.908 0.908 0.908
0.500 0.500 0.500


Pr5In4Hg, relaxed, DFT PBE-GGA; D(E_F) = 0.95 states/eV per atom; formation enthalpy at 0 K = -0.486 eV per atom; DFT total energy = -40.0 eV for the cell shown
1.0
3.867 0.000 0.000
0.000 3.867 0.000
0.000 0.000 19.820
Pr In Hg
5 4 1
direct
0.000 0.000 0.000
0.000 0.000 0.201
0.000 0.000 0.402
0.000 0.000 0.598
0.000 0.000 0.799
0.500 0.500 0.100
0.500 0.500 0.302
0.500 0.500 0.698
0.500 0.500 0.900
0.500 0.500 0.500


Nd3Sm3Ho8, relaxed, DFT PBE-GGA; D(E_F) = 1.54 states/eV per atom; formation enthalpy at 0 K = 0.109 eV per atom; DFT total energy = -63.6 eV for the cell shown
1.0
-2.837 5.383 7.588
2.837 -5.383 7.588
2.837 5.383 -7.588
Nd Sm Ho
3 3 8
direct
0.000 0.000 0.000
0.186 0.686 0.500
0.814 0.314 0.500
0.200 0.500 0.700
0.500 0.500 0.000
0.800 0.500 0.300
0.119 0.280 0.839
0.238 0.897 0.341
0.441 0.280 0.161
0.443 0.103 0.341
0.557 0.897 0.659
0.559 0.720 0.839
0.762 0.103 0.659
0.881 0.720 0.161


NiAs2, relaxed, DFT PBE-GGA; D(E_F) = 0.46 states/eV per atom; formation enthalpy at 0 K = -0.004 eV per atom; DFT total energy = -30.2 eV for the cell shown
1.0
5.900 -1.431 0.000
5.900 1.431 0.000
-2.826 0.000 6.847
Ni As
2 4
direct
0.000 0.000 0.000
0.650 0.650 0.890
0.239 0.239 0.181
0.313 0.313 0.848
0.476 0.476 0.241
0.993 0.993 0.668


LaTb2DyHo2, relaxed, DFT PBE-GGA; D(E_F) = 1.69 states/eV per atom; formation enthalpy at 0 K = 0.274 eV per atom; DFT total energy = -52.6 eV for the cell shown
1.0
6.536 0.000 0.000
0.000 17.988 0.000
0.000 0.000 3.396
La Tb Dy Ho
2 4 2 4
direct
0.000 0.000 0.000
0.500 0.500 0.500
0.216 0.189 0.000
0.284 0.689 0.500
0.716 0.311 0.500
0.784 0.811 0.000
0.000 0.500 0.000
0.500 0.000 0.500
0.214 0.353 0.500
0.286 0.853 0.000
0.714 0.147 0.000
0.786 0.647 0.500


Tb6CeEr2Tm, relaxed, DFT PBE-GGA; D(E_F) = 1.85 states/eV per atom; formation enthalpy at 0 K = 0.155 eV per atom; DFT total energy = -91.5 eV for the cell shown
1.0
4.551 -7.427 0.000
4.551 7.427 0.000
-1.350 0.000 9.442
Tb Ce Er Tm
12 2 4 2
direct
0.018 0.570 0.185
0.118 0.754 0.557
0.246 0.882 0.943
0.297 0.508 0.381
0.430 0.982 0.315
0.492 0.703 0.119
0.508 0.297 0.881
0.570 0.018 0.685
0.703 0.492 0.619
0.754 0.118 0.057
0.882 0.246 0.443
0.982 0.430 0.815
0.408 0.592 0.750
0.592 0.408 0.250
0.192 0.292 0.047
0.292 0.192 0.547
0.708 0.808 0.453
0.808 0.708 0.953
0.027 0.973 0.250
0.973 0.027 0.750


Dy3Al2Fe7, relaxed, DFT PBE-GGA; D(E_F) = 0.75 states/eV per atom; formation enthalpy at 0 K = -0.211 eV per atom; DFT total energy = -83.1 eV for the cell shown
1.0
2.584 1.492 8.112
-2.584 1.492 8.112
0.000 -2.984 8.112
Dy Al Fe
3 2 7
direct
0.000 0.000 0.000
0.140 0.140 0.140
0.860 0.860 0.860
0.333 0.333 0.333
0.667 0.667 0.667
0.085 0.582 0.582
0.418 0.418 0.915
0.418 0.915 0.418
0.500 0.500 0.500
0.582 0.085 0.582
0.582 0.582 0.085
0.915 0.418 0.418


TlW, relaxed, DFT PBE-GGA; relative energy among the computed polymorphs = 41.9 kJ/mol of atoms; D(E_F) = 0.56 states/eV per atom; formation enthalpy at 0 K = 1.058 eV per atom; DFT total energy = -52.8 eV for the cell shown
1.0
6.810 0.000 0.000
0.000 4.271 0.000
0.000 0.000 5.892
Tl W
4 4
direct
0.162 0.250 0.122
0.338 0.750 0.622
0.662 0.250 0.378
0.838 0.750 0.878
0.024 0.250 0.623
0.476 0.750 0.123
0.524 0.250 0.877
0.976 0.750 0.377


LiCa2Y, relaxed, DFT PBE-GGA; relative energy among the computed polymorphs = 4.5 kJ/mol of atoms; D(E_F) = 1.54 states/eV per atom; formation enthalpy at 0 K = 0.142 eV per atom; DFT total energy = -11.8 eV for the cell shown
1.0
6.538 -1.927 0.000
6.538 1.927 0.000
-2.705 0.000 5.308
Li Ca Y
1 2 1
direct
0.000 0.000 0.000
0.282 0.282 0.782
0.718 0.718 0.218
0.500 0.500 0.500